Record 1
{
  "formula": "Sr2Zn12Rh5",
  "functional": "PBE-GGA",
  "state": "optimized geometry",
  "formation_energy_ev_per_atom": -0.31,
  "lattice": [[6.881, 0.096, 0.683], [0.628, 6.853, 0.683], [0.104, 0.096, 6.914]],
  "species": ["Zn", "Zn", "Zn", "Zn", "Zn", "Zn", "Zn", "Zn", "Zn", "Zn", "Zn", "Zn", "Sr", "Sr", "Rh", "Rh", "Rh", "Rh", "Rh"],
  "fractional_positions": [[0.134, 0.660, 0.660], [0.282, 0.718, 0.000], [0.660, 0.660, 0.134], [0.340, 0.866, 0.340], [0.000, 0.282, 0.718], [0.718, 0.000, 0.282], [0.340, 0.340, 0.866], [0.866, 0.340, 0.340], [0.718, 0.282, 0.000], [0.000, 0.718, 0.282], [0.660, 0.134, 0.660], [0.282, 0.000, 0.718], [0.662, 0.662, 0.662], [0.338, 0.338, 0.338], [0.097, 0.097, 0.097], [0.500, 0.000, 0.000], [0.903, 0.903, 0.903], [0.000, 0.500, 0.000], [0.000, 0.000, 0.500]]
}

***

Record 2
{
  "formula": "SrZn2Rh2",
  "functional": "PBE-GGA",
  "state": "optimized geometry",
  "formation_energy_ev_per_atom": -0.33,
  "relative_energy_mev_per_atom": 14,
  "lattice": [[4.326, 0.000, 0.000], [0.000, 4.326, 0.000], [2.163, 2.163, 5.224]],
  "species": ["Zn", "Zn", "Sr", "Rh", "Rh"],
  "fractional_positions": [[0.250, 0.750, 0.500], [0.750, 0.250, 0.500], [0.000, 0.000, 0.000], [0.380, 0.380, 0.241], [0.620, 0.620, 0.759]]
}

***

Record 3
{
  "formula": "SrZnRh2",
  "functional": "PBE-GGA",
  "state": "optimized geometry",
  "formation_energy_ev_per_atom": 0.09,
  "lattice": [[6.625, 0.000, 0.000], [0.000, 5.557, 0.000], [0.000, 0.000, 9.871]],
  "species": ["Zn", "Zn", "Zn", "Zn", "Rh", "Rh", "Rh", "Rh", "Rh", "Rh", "Rh", "Rh", "Sr", "Sr", "Sr", "Sr"],
  "fractional_positions": [[0.500, 0.750, 0.707], [0.500, 0.250, 0.293], [0.000, 0.750, 0.770], [0.000, 0.250, 0.230], [0.500, 0.500, 0.500], [0.500, 0.000, 0.500], [0.309, 0.750, 0.932], [0.691, 0.750, 0.932], [0.309, 0.250, 0.068], [0.691, 0.250, 0.068], [0.000, 0.500, 0.000], [0.000, 0.000, 0.000], [0.000, 0.250, 0.619], [0.500, 0.250, 0.800], [0.000, 0.750, 0.381], [0.500, 0.750, 0.200]]
}

***

Copy entry 3 word for word.
{
  "formula": "SrZnRh2",
  "functional": "PBE-GGA",
  "state": "optimized geometry",
  "formation_energy_ev_per_atom": 0.09,
  "lattice": [[6.625, 0.000, 0.000], [0.000, 5.557, 0.000], [0.000, 0.000, 9.871]],
  "species": ["Zn", "Zn", "Zn", "Zn", "Rh", "Rh", "Rh", "Rh", "Rh", "Rh", "Rh", "Rh", "Sr", "Sr", "Sr", "Sr"],
  "fractional_positions": [[0.500, 0.750, 0.707], [0.500, 0.250, 0.293], [0.000, 0.750, 0.770], [0.000, 0.250, 0.230], [0.500, 0.500, 0.500], [0.500, 0.000, 0.500], [0.309, 0.750, 0.932], [0.691, 0.750, 0.932], [0.309, 0.250, 0.068], [0.691, 0.250, 0.068], [0.000, 0.500, 0.000], [0.000, 0.000, 0.000], [0.000, 0.250, 0.619], [0.500, 0.250, 0.800], [0.000, 0.750, 0.381], [0.500, 0.750, 0.200]]
}